Record 1
A plane-wave DFT calculation with GGA-PBE was carried out for an optimized crystal structure of CrCdW.

Unit cell a=4.3920 b=4.3920 c=4.3920 alpha=60.00 beta=60.00 gamma=60.00
Last column: nearest neighbours and their distance in Å.
Fractional coordinates of all 3 atoms:
Cd: 0.0000 0.0000 0.0000  4 W 2.69
Cr: 0.5000 0.5000 0.5000  4 W 2.69
W: 0.7500 0.7500 0.7500  4 Cd 2.69, 4 Cr 2.69

ΔE to the lowest computed polymorph ... 947.0 meV per atom
Calculated formation energy ... 135.4 kJ/mol of atoms
Calculated total energy ... -6.428 eV per atom
D(E_F) ... 0.700 states/eV/atom
Calculated volume ... 19.97 A^3/atom

=====

Record 2
A plane-wave DFT calculation with GGA-PBE was carried out for an optimized crystal structure of CrCdW.

Unit cell a=4.8677 b=4.8677 c=4.8677 alpha=148.29 beta=127.75 gamma=62.42
Last column: nearest neighbours and their distance in Å.
Fractional coordinates of all 3 atoms:
Cd: 0.9989 0.9989 0.0000  2 Cd 2.66, 5 W 2.76-2.89, 5 Cr 2.79-2.87
Cr: 0.3336 0.3336 0.0000  2 Cr 2.66, 5 W 2.78-2.88, 5 Cd 2.79-2.87
W: 0.6675 0.6675 0.0000  2 W 2.66, 5 Cd 2.76-2.89, 5 Cr 2.78-2.88

ΔE to the lowest computed polymorph ... 200.8 meV per atom
Calculated formation energy ... 63.4 kJ/mol of atoms
Calculated total energy ... -7.174 eV per atom
D(E_F) ... 0.436 states/eV/atom
Calculated volume ... 15.82 A^3/atom

=====

Record 3
A plane-wave DFT calculation with GGA-PBE was carried out for an optimized crystal structure of CrCdW.

Unit cell a=5.4322 b=5.4322 c=5.4322 alpha=146.21 beta=146.21 gamma=48.53
Last column: nearest neighbours and their distance in Å.
Fractional coordinates of all 3 atoms:
W: 0.6966 0.6966 0.0000  4 Cr 2.49
Cr: 0.3079 0.3079 0.0000  4 W 2.49
Cd: 0.9956 0.9956 0.0000  5 Cr 2.91-3.09, 5 W 2.96-2.99, 4 Cd 3.16

ΔE to the lowest computed polymorph ... 30.4 meV per atom
Calculated formation energy ... 46.9 kJ/mol of atoms
Calculated total energy ... -7.344 eV per atom
D(E_F) ... 0.646 states/eV/atom
Calculated volume ... 16.45 A^3/atom

=====

Record 4
A plane-wave DFT calculation with GGA-PBE was carried out for an optimized crystal structure of CrCdW2.

Unit cell a=2.7616 b=2.7616 c=8.7208 alpha=90.00 beta=90.00 gamma=90.00
Last column: nearest neighbours and their distance in Å.
Fractional coordinates of all 4 atoms:
W: 0.5000 0.5000 0.2398  8 W 2.76-2.97, 4 Cd 3.06
W: 0.0000 0.0000 0.9833  4 Cr 2.72, 8 W 2.76-2.97
Cd: 0.0000 0.0000 0.5100  4 Cd 2.76, 4 Cr 2.97, 4 W 3.06
Cr: 0.5000 0.5000 0.7668  4 W 2.72, 4 Cr 2.76, 4 Cd 2.97

Calculated formation energy ... 52.9 kJ/mol of atoms
Calculated total energy ... -8.563 eV per atom
D(E_F) ... 0.767 states/eV/atom
Calculated volume ... 16.63 A^3/atom

=====

Record 5
A plane-wave DFT calculation with GGA-PBE was carried out for an optimized crystal structure of CrCdW2.

Unit cell a=4.2953 b=3.8634 c=3.8634 alpha=90.00 beta=90.00 gamma=90.00
Last column: nearest neighbours and their distance in Å.
Fractional coordinates of all 4 atoms:
Cd: 0.5000 0.5000 0.0000  4 Cr 2.73, 8 W 2.89
W: 0.0000 0.5000 0.5000  4 W 2.73, 4 Cr 2.89, 4 Cd 2.89
W: 0.0000 0.0000 0.0000  4 W 2.73, 4 Cd 2.89, 4 Cr 2.89
Cr: 0.5000 0.0000 0.5000  4 Cd 2.73, 8 W 2.89

Calculated formation energy ... 58.9 kJ/mol of atoms
Calculated total energy ... -8.501 eV per atom
D(E_F) ... 0.683 states/eV/atom
Calculated volume ... 16.03 A^3/atom

=====

Record 6
A plane-wave DFT calculation with GGA-PBE was carried out for an optimized crystal structure of CrCdW.

Unit cell a=4.2807 b=4.2807 c=4.2807 alpha=60.00 beta=60.00 gamma=60.00
Last column: nearest neighbours and their distance in Å.
Fractional coordinates of all 3 atoms:
Cr: 0.7500 0.7500 0.7500  4 W 2.62, 4 Cd 2.62
W: 0.0000 0.0000 0.0000  4 Cr 2.62
Cd: 0.5000 0.5000 0.5000  4 Cr 2.62

ΔE to the lowest computed polymorph ... 685.6 meV per atom
Calculated formation energy ... 110.2 kJ/mol of atoms
Calculated total energy ... -6.689 eV per atom
D(E_F) ... 0.412 states/eV/atom
Calculated volume ... 18.49 A^3/atom

=====

The lowest calculated volume belongs to which entry? number 2

=====

Among the records above, which one has the lowest calculated volume? number 2